Entry 1:
Below is an optimized crystal structure of Hf2FeAu4, with properties calculated at the PBE level.

Values from the calculation:
- Energy of formation: 338.1 meV/atom
- Magnetic moment: 4.90 μB per cell
- Calculated total energy: -5.59 eV per atom
- Density: 12.6 Mg/m³
- DOS(E_F): 12.6 states/eV per cell

Unit cell a=4.835 b=4.835 c=13.565 alpha=90.00 beta=90.00 gamma=90.00
Space group I4/mmm (No. 139)
Symmetry-distinct sites (fractional):
Hf: 0.000 0.000 0.114 [4 per cell]
Fe: 0.000 0.000 0.500 [2 per cell]
Au: 0.000 0.000 0.309 [4 per cell]
Au: 0.000 0.500 0.000 [4 per cell]

Entry 2:
Below is an optimized crystal structure of As2PbSeBr, with properties calculated at the PBE level.

Values from the calculation:
- Energy relative to the elements, uncorrected: 0.453 eV/atom
- Magnetic moment: 0.00 μB per cell
- Calculated total energy: -3.18 eV per atom
- Density: 6.1 Mg/m³
- DOS(E_F): 5.2 states/eV per cell
- Distance to the lowest polymorph of the same formula: 0.00 eV per formula unit

Unit cell a=5.100 b=5.100 c=5.419 alpha=90.00 beta=90.00 gamma=90.00
Space group P4/mmm (No. 123)
Symmetry-distinct sites (fractional):
As: 0.000 0.500 0.000 [2 per cell]
Pb: 0.000 0.000 0.500 [1 per cell]
Se: 0.500 0.500 0.000 [1 per cell]
Br: 0.500 0.500 0.500 [1 per cell]

Entry 3:
Below is an optimized crystal structure of Ca3Ga8Cu3, with properties calculated at the PBE level.

Values from the calculation:
- Energy of formation: -352.4 meV/atom
- Magnetic moment: 0.00 μB per cell
- Calculated total energy: -3.39 eV per atom
- Density: 5.6 Mg/m³
- DOS(E_F): 10.0 states/eV per cell
- Distance to the lowest polymorph of the same formula: 0.34 eV per formula unit

Unit cell a=15.773 b=4.309 c=9.540 alpha=90.00 beta=126.83 gamma=90.00
Space group C2/m (No. 12)
Symmetry-distinct sites (fractional):
Ca: 0.000 0.000 0.000 [2 per cell]
Ca: 0.205 0.500 0.708 [4 per cell]
Ga: 0.004 0.500 0.685 [4 per cell]
Ga: 0.141 0.000 0.427 [4 per cell]
Ga: 0.148 0.000 0.871 [4 per cell]
Ga: 0.155 0.500 0.278 [4 per cell]
Cu: 0.000 0.000 0.500 [2 per cell]
Cu: 0.153 0.500 0.012 [4 per cell]